## LaY2Ag (PBE-GGA)

Data for a relaxed LaY2Ag crystal.

Output
The density of states at the Fermi level comes out at 6.5 states/eV/f.u. Its crystal system is tetragonal. The total DFT energy (no corrections) comes out at -5.146 eV per atom. The formation energy comes out at 0.03 eV/atom. The calculation puts the spin magnetization at 0.0 μB per cell. The density is 6.04 Mg/m³. The energy above the lowest structure with this stoichiometry comes out at 0.1615 eV per atom.

Cell lengths 4.836, 4.836, 4.994 Å; angles 90.00, 90.00, 90.00 degrees
Space group P4/mmm (No. 123)
Symmetry-distinct sites (fractional):
La 0.000 0.000 0.000 (multiplicity 1)
Y 0.000 0.500 0.500 (multiplicity 2)
Ag 0.500 0.500 0.000 (multiplicity 1)